Entry 1:
LiICl4 after structural relaxation. Source: Alexandria, functional PBE.

Unit cell a=6.557 b=4.159 c=28.992 alpha=90.00 beta=93.78 gamma=90.00
Space group P2_1/c (No. 14)
Unique sites:
Li (0.207, 0.168, 0.337) [4 per cell]
I (0.260, 0.529, 0.625) [4 per cell]
Cl (0.062, 0.231, 0.914) [4 per cell]
Cl (0.118, 0.743, 0.701) [4 per cell]
Cl (0.384, 0.160, 0.052) [4 per cell]
Cl (0.399, 0.658, 0.327) [4 per cell]

Computed properties:
The crystal system is monoclinic. As for the energy relative to the lowest polymorph listed for this composition: 0.0000 eV per atom.

=====

Entry 2:
CsCrCo3 after structural relaxation. Source: Alexandria, functional PBE.

Unit cell a=4.486 b=4.486 c=4.486 alpha=90.00 beta=90.00 gamma=90.00
Space group Pm-3m (No. 221)
Unique sites:
Cs (0.000, 0.000, 0.000) [1 per cell]
Cr (0.500, 0.500, 0.500) [1 per cell]
Co (0.000, 0.500, 0.500) [3 per cell]

Computed properties:
The crystal system is cubic. The value obtained for the formation energy is 1.4610 eV per atom. As for the energy relative to the lowest polymorph listed for this composition: 0.0000 eV per atom.

=====

Entry 3:
Pm2SmDy4Th after structural relaxation. Source: Alexandria, functional PBE.

Unit cell a=5.083 b=5.104 c=10.042 alpha=90.00 beta=90.00 gamma=90.00
Space group Pmmm (No. 47)
Unique sites:
Pm (0.000, 0.000, 0.000) [1 per cell]
Pm (0.500, 0.500, 0.500) [1 per cell]
Sm (0.000, 0.000, 0.500) [1 per cell]
Dy (0.000, 0.500, 0.246) [2 per cell]
Dy (0.500, 0.000, 0.246) [2 per cell]
Th (0.500, 0.500, 0.000) [1 per cell]

Computed properties:
The crystal system is orthorhombic. The value obtained for the formation energy is 0.0289 eV per atom.

=====

Entry 4:
ErZrBe17 after structural relaxation. Source: Alexandria, functional PBE.

Unit cell a=7.5976 b=7.5976 c=11.0857 alpha=90.00 beta=90.00 gamma=120.00
Space group R3m (No. 160, hexagonal axes)
Unique sites:
Er (0.0000, 0.0000, 0.0000) [3 per cell]
Zr (0.0000, 0.0000, 0.6757) [3 per cell]
Be (0.0000, 0.0000, 0.2444) [3 per cell]
Be (0.0000, 0.0000, 0.4363) [3 per cell]
Be (0.0010, 0.2841, 0.3385) [18 per cell]
Be (0.0006, 0.5003, 0.4976) [9 per cell]
Be (0.0024, 0.5012, 0.1793) [9 per cell]
Be (0.1680, 0.3361, 0.1734) [9 per cell]

Computed properties:
The crystal system is trigonal. The value obtained for the formation energy is -0.1981 eV per atom.

=====

| no. | total magnetization (Bohr magnetons per cell) |
| --- | --- |
| 1 | 0.000 |
| 2 | 0.771 |
| 3 | 0.000 |
| 4 | 0.000 |